i:
Below is crystalline HSI3 at its relaxed geometry, with properties calculated at the GGA-PBE level.

D(E_F)   0.117 states/eV per atom
Density   3.393 g/cm³
Total magnetic moment   1.0 μB/cell
Crystal system   triclinic

Cell: 5.0123 7.6851 11.2542 Å, 101.76 95.19 105.11°
Space group P-1 (No. 2)
Unique sites:
1 H 0.1410 0.2934 0.3352
2 S 0.0515 0.6001 0.9628
3 I 0.1570 0.9962 0.6202
4 I 0.3315 0.4937 0.3112
5 I 0.4046 0.0542 0.8830

=====

ii:
Below is crystalline HSI3 at its relaxed geometry, with properties calculated at the GGA-PBE level.

D(E_F)   1.035 states/eV per atom
Density   5.609 g/cm³
Total magnetic moment   0.3 μB/cell
Crystal system   cubic

Cell: 4.9664 4.9664 4.9664 Å, 90.00 90.00 90.00°
Space group Pm-3m (No. 221)
Unique sites:
1 H 0.0000 0.0000 0.0000
2 S 0.5000 0.5000 0.5000
3 I 0.0000 0.0000 0.5000

=====

Verdict on stability: ii comes out at the bottom.

=====

i:
Below is crystalline H3SI at its relaxed geometry, with properties calculated at the GGA-PBE level.

D(E_F)   0.972 states/eV per atom
Density   4.324 g/cm³
Total magnetic moment   0.5 μB/cell
Crystal system   cubic

Cell: 3.9624 3.9624 3.9624 Å, 90.00 90.00 90.00°
Space group Pm-3m (No. 221)
Unique sites:
1 H 0.0000 0.0000 0.5000
2 S 0.5000 0.5000 0.5000
3 I 0.0000 0.0000 0.0000

=====

ii:
Below is crystalline H3SI at its relaxed geometry, with properties calculated at the GGA-PBE level.

D(E_F)   0.390 states/eV per atom
Density   4.791 g/cm³
Total magnetic moment   0.0 μB/cell
Crystal system   cubic

Cell: 3.8291 3.8291 3.8291 Å, 90.00 90.00 90.00°
Space group Pm-3m (No. 221)
Unique sites:
1 H 0.0000 0.0000 0.5000
2 S 0.0000 0.0000 0.0000
3 I 0.5000 0.5000 0.5000

=====

iii:
Below is crystalline H3SI at its relaxed geometry, with properties calculated at the GGA-PBE level.

D(E_F)   0.000 states/eV per atom
Density   2.468 g/cm³
Total magnetic moment   0.0 μB/cell
Crystal system   trigonal

Cell: 5.6321 5.6321 11.9010 Å, 90.00 90.00 120.00°
Space group R3m (No. 160, hexagonal axes)
Unique sites:
1 H 0.0897 0.5449 0.0000
2 S 0.0000 0.0000 0.2691
3 I 0.0000 0.0000 0.7719

=====

Verdict on stability: i comes out at the bottom.

=====

i:
Below is crystalline HSI at its relaxed geometry, with properties calculated at the GGA-PBE level.

Density   2.893 g/cm³
Total magnetic moment   0.0 μB/cell
Crystal system   triclinic

Cell: 5.3733 5.4238 6.8192 Å, 78.01 74.07 76.54°
Space group P-1 (No. 2)
Unique sites:
1 H 0.2375 0.0512 0.2674
2 S 0.0332 0.9255 0.3621
3 I 0.3391 0.6855 0.8840

=====

ii:
Below is crystalline HSI at its relaxed geometry, with properties calculated at the GGA-PBE level.

D(E_F)   0.000 states/eV per atom
Density   2.709 g/cm³
Total magnetic moment   0.0 μB/cell
Crystal system   triclinic

Cell: 4.7355 6.0579 7.0025 Å, 83.47 79.97 85.17°
Space group P1 (No. 1)
Unique sites:
1 H 0.0000 0.0000 0.0000
2 H 0.0878 0.4626 0.5087
3 S 0.6153 0.5269 0.3579
4 S 0.8075 0.4314 0.5920
5 I 0.2848 0.8579 0.8880
6 I 0.5483 0.2012 0.1857

=====

Verdict on stability: ii comes out at the bottom.

=====

i:
Below is crystalline HSI at its relaxed geometry, with properties calculated at the GGA-PBE level.

D(E_F)   0.000 states/eV per atom
Density   2.541 g/cm³
Total magnetic moment   0.0 μB/cell
Crystal system   triclinic

Cell: 5.3340 6.3362 6.9292 Å, 65.23 85.39 79.53°
Space group P1 (No. 1)
Unique sites:
1 H 0.0000 0.0000 0.0000
2 H 0.1524 0.4422 0.7295
3 S 0.0813 0.1047 0.1132
4 S 0.3281 0.2931 0.8836
5 I 0.5390 0.0002 0.6889
6 I 0.7431 0.6841 0.4967

=====

ii:
Below is crystalline HSI at its relaxed geometry, with properties calculated at the GGA-PBE level.

D(E_F)   0.050 states/eV per atom
Density   2.598 g/cm³
Total magnetic moment   0.0 μB/cell
Crystal system   triclinic

Cell: 4.8175 5.6533 8.4187 Å, 101.17 101.28 108.81°
Space group P1 (No. 1)
Unique sites:
1 H 0.0000 0.0000 0.0000
2 H 0.2493 0.5694 0.2313
3 S 0.2043 0.5103 0.0614
4 S 0.8424 0.1602 0.9938
5 I 0.0398 0.6095 0.5552
6 I 0.9754 0.0342 0.4450

=====

Verdict on stability: ii comes out at the bottom.

=====

i:
Below is crystalline HSI at its relaxed geometry, with properties calculated at the GGA-PBE level.

Density   2.427 g/cm³
Total magnetic moment   4.0 μB/cell
Crystal system   monoclinic

Cell: 15.0536 5.9402 4.9264 Å, 90.00 96.41 90.00°
Space group C2 (No. 5)
Unique sites:
1 H 0.2320 0.0000 0.0229
2 S 0.0635 0.6616 0.5323
3 I 0.1691 0.1960 0.1512

=====

ii:
Below is crystalline HSI at its relaxed geometry, with properties calculated at the GGA-PBE level.

D(E_F)   0.000 states/eV per atom
Density   2.875 g/cm³
Total magnetic moment   0.0 μB/cell
Crystal system   triclinic

Cell: 5.0950 6.1924 6.2639 Å, 96.38 101.52 104.48°
Space group P1 (No. 1)
Unique sites:
1 H 0.0000 0.0000 0.0000
2 H 0.4050 0.0884 0.5385
3 S 0.1530 0.1683 0.1769
4 S 0.3689 0.9613 0.3379
5 I 0.4500 0.4162 0.9261
6 I 0.7425 0.6989 0.6563

=====

Verdict on stability: i comes out at the bottom.

=====

i:
Below is crystalline HSI2 at its relaxed geometry, with properties calculated at the GGA-PBE level.

D(E_F)   0.363 states/eV per atom
Density   3.429 g/cm³
Total magnetic moment   0.0 μB/cell
Crystal system   monoclinic

Cell: 6.8958 4.6827 17.7896 Å, 90.00 104.69 90.00°
Space group P2_1/c (No. 14)
Unique sites:
1 H 0.1382 0.2210 0.2075
2 S 0.0916 0.2408 0.1288
3 I 0.2300 0.0719 0.3723
4 I 0.4037 0.5734 0.6211

=====

ii:
Below is crystalline HSI2 at its relaxed geometry, with properties calculated at the GGA-PBE level.

D(E_F)   1.461 states/eV per atom
Density   5.245 g/cm³
Total magnetic moment   0.0 μB/cell
Crystal system   cubic

Cell: 7.1353 7.1353 7.1353 Å, 90.00 90.00 90.00°
Space group Fm-3m (No. 225)
Unique sites:
1 H 0.0000 0.0000 0.0000
2 S 0.0000 0.0000 0.5000
3 I 0.2500 0.2500 0.2500

=====

iii:
Below is crystalline HSI2 at its relaxed geometry, with properties calculated at the GGA-PBE level.

D(E_F)   1.190 states/eV per atom
Density   4.957 g/cm³
Total magnetic moment   0.0 μB/cell
Crystal system   tetragonal

Cell: 6.8568 6.8568 8.1769 Å, 90.00 90.00 90.00°
Space group I-42d (No. 122)
Unique sites:
1 H 0.0000 0.0000 0.0000
2 S 0.0000 0.0000 0.5000
3 I 0.1922 0.7500 0.1250

=====

Verdict on stability: ii comes out at the bottom.